First-principles (GGA-PBE) data for a relaxed structure of UCo4Si4, as listed in Alexandria.

abc: 5.5718 5.5718 7.7568
angles: 90.00 90.00 90.00
Space group P4_2/nmc (No. 137, origin choice 2)
Unique sites:
U  0.2500  0.7500  0.2500 x2
Co  0.0215  0.2500  0.1382 x8
Si  0.0401  0.2500  0.4327 x8

Output
* volume: 240.8 Å³/cell
* D(E_F): 25.5 states/eV/cell
* magnetization: 4.48 μB/cell
* uncorrected energy: -7.247 eV/atom

---

First-principles (GGA-PBE) data for a relaxed structure of UCo5Si2, as listed in Alexandria.

abc: 3.5252 6.3825 9.0905
angles: 90.00 90.00 90.00
Space group Immm (No. 71)
Unique sites:
U  0.0000  0.0000  0.0000 x2
Co  0.0000  0.1968  0.3615 x8
Co  0.0000  0.5000  0.0000 x2
Si  0.0000  0.5000  0.2413 x4

Output
* volume: 204.5 Å³/cell
* D(E_F): 15.0 states/eV/cell
* magnetization: 0.43 μB/cell
* uncorrected energy: -7.585 eV/atom

---

First-principles (GGA-PBE) data for a relaxed structure of U2Co12Si7, as listed in Alexandria.

abc: 9.1087 9.1087 3.6442
angles: 90.00 90.00 120.00
Space group P-6 (No. 174)
Unique sites:
U  0.0000  0.0000  0.0000 x1
U  0.3333  0.6667  0.5000 x1
Co  0.0394  0.2703  0.5000 x3
Co  0.1162  0.7142  0.0000 x3
Co  0.3871  0.1881  0.0000 x3
Co  0.5562  0.4373  0.5000 x3
Si  0.0567  0.4406  0.0000 x3
Si  0.2707  0.2364  0.5000 x3
Si  0.6667  0.3333  0.0000 x1

Output
* volume: 261.8 Å³/cell
* D(E_F): 22.4 states/eV/cell
* magnetization: 5.41 μB/cell
* uncorrected energy: -7.453 eV/atom

---

First-principles (GGA-PBE) data for a relaxed structure of VCo4Si2, as listed in Alexandria.

abc: 2.5513 3.8487 16.4284
angles: 90.00 90.00 90.00
Space group Immm (No. 71)
Unique sites:
V  0.0000  0.0000  0.0000 x2
Co  0.0000  0.0000  0.1382 x4
Co  0.0000  0.5000  0.2280 x4
Si  0.0000  0.0000  0.4034 x4

Output
* volume: 161.3 Å³/cell
* energy above the lowest structure with this stoichiometry: 0.00 eV per formula unit
* D(E_F): 12.1 states/eV/cell
* magnetization: 6.10 μB/cell
* uncorrected energy: -7.045 eV/atom

---

First-principles (GGA-PBE) data for a relaxed structure of VCo3Si, as listed in Alexandria.

abc: 8.3619 4.8813 11.6833
angles: 90.00 101.65 90.00
Space group C2/c (No. 15)
Unique sites:
V  0.0631  0.1186  0.1017 x8
Co  0.0611  0.4023  0.5913 x8
Co  0.1675  0.3355  0.2900 x8
Co  0.1934  0.1488  0.9023 x8
Si  0.0000  0.2535  0.7500 x4
Si  0.2500  0.2500  0.5000 x4

Output
* volume: 467.0 Å³/cell
* energy above the lowest structure with this stoichiometry: 0.00 eV per formula unit
* D(E_F): 33.1 states/eV/cell
* magnetization: 2.20 μB/cell
* uncorrected energy: -7.294 eV/atom

---

First-principles (GGA-PBE) data for a relaxed structure of VCo6Si, as listed in Alexandria.

abc: 7.0149 4.6708 6.4637
angles: 90.00 109.87 90.00
Space group C2/m (No. 12)
Unique sites:
V  0.0000  0.0000  0.0000 x2
Co  0.1462  0.0000  0.4409 x4
Co  0.1953  0.2421  0.8014 x8
Si  0.0000  0.5000  0.5000 x2

Output
* volume: 199.2 Å³/cell
* energy above the lowest structure with this stoichiometry: 3.25 eV per formula unit
* D(E_F): 21.3 states/eV/cell
* magnetization: 12.44 μB/cell
* uncorrected energy: -6.963 eV/atom